[1]
DFT (PBE-GGA) results for crystalline V2PRu at its relaxed geometry.

The structure in POSCAR format:
```
V2PRu
1.0
-2.250 2.615 5.611
2.527 -5.062 3.372
2.360 0.075 4.777
V P Ru
4 2 2
Direct
0.146 0.625 0.250
0.375 0.396 0.750
0.875 0.854 0.750
0.604 0.125 0.250
0.500 0.500 0.000
0.250 0.750 0.500
0.000 0.000 0.000
0.750 0.250 0.500
```

Output
Space group: No. 122
Formation enthalpy at 0 K (meV/atom): 1
D(E_F) (states/eV/atom): 1.101

---

[2]
DFT (PBE-GGA) results for crystalline V3PRu at its relaxed geometry.

The structure in POSCAR format:
```
V3PRu
1.0
4.260 0.000 0.000
0.000 4.260 0.000
0.000 0.000 4.260
V P Ru
3 1 1
Direct
0.000 0.500 0.000
0.500 0.000 0.000
0.000 0.000 0.500
0.000 0.000 0.000
0.500 0.500 0.500
```

Output
Space group: No. 221
Formation enthalpy at 0 K (meV/atom): 382
D(E_F) (states/eV/atom): 1.324

---

[3]
DFT (PBE-GGA) results for crystalline V3PRu at its relaxed geometry.

The structure in POSCAR format:
```
V3PRu
1.0
5.500 -0.088 -0.203
2.617 4.838 -0.203
2.427 1.420 10.382
V Ru P
12 4 4
Direct
0.129 0.175 0.685
0.861 0.215 0.441
0.871 0.825 0.315
0.183 0.394 0.912
0.606 0.817 0.588
0.175 0.129 0.185
0.139 0.785 0.559
0.215 0.861 0.941
0.825 0.871 0.815
0.817 0.606 0.088
0.394 0.183 0.412
0.785 0.139 0.059
0.420 0.746 0.350
0.746 0.420 0.850
0.254 0.580 0.150
0.580 0.254 0.650
0.675 0.325 0.250
0.000 0.500 0.500
0.325 0.675 0.750
0.500 0.000 0.000
```

Output
Space group: No. 15
Formation enthalpy at 0 K (meV/atom): -230
D(E_F) (states/eV/atom): 0.999

---

[4]
DFT (PBE-GGA) results for crystalline V2P2Ru at its relaxed geometry.

The structure in POSCAR format:
```
V2P2Ru
1.0
-5.145 3.757 0.337
-0.591 -1.365 6.204
1.848 2.466 0.719
V P Ru
4 4 2
Direct
0.147 0.647 0.500
0.853 0.353 0.500
0.647 0.853 0.500
0.353 0.147 0.500
0.352 0.852 0.000
0.852 0.648 0.000
0.648 0.148 0.000
0.148 0.352 0.000
0.000 0.000 0.000
0.500 0.500 0.000
```

Output
Space group: No. 127
Formation enthalpy at 0 K (meV/atom): -560
D(E_F) (states/eV/atom): 0.884

---

[5]
DFT (PBE-GGA) results for crystalline VP3Ru at its relaxed geometry.

The structure in POSCAR format:
```
VP3Ru
1.0
4.444 0.000 0.000
0.000 4.444 0.000
0.000 0.000 4.444
Ru P V
1 3 1
Direct
0.500 0.500 0.500
0.000 0.000 0.500
0.000 0.500 0.000
0.500 0.000 0.000
0.000 0.000 0.000
```

Output
Space group: No. 221
Formation enthalpy at 0 K (meV/atom): 772
D(E_F) (states/eV/atom): 0.953

---

[6]
DFT (PBE-GGA) results for crystalline V3PRu at its relaxed geometry.

The structure in POSCAR format:
```
V3PRu
1.0
4.526 0.000 0.000
0.000 4.526 0.000
0.000 0.000 4.526
V P Ru
3 1 1
Direct
0.000 0.000 0.500
0.000 0.500 0.000
0.500 0.000 0.000
0.500 0.500 0.500
0.000 0.000 0.000
```

Output
Space group: No. 221
Formation enthalpy at 0 K (meV/atom): 1097
D(E_F) (states/eV/atom): 1.685

---

[7]
DFT (PBE-GGA) results for crystalline VP3Ru at its relaxed geometry.

The structure in POSCAR format:
```
VP3Ru
1.0
4.566 0.000 0.000
0.000 4.566 0.000
0.000 0.000 4.566
V P Ru
1 3 1
Direct
0.500 0.500 0.500
0.000 0.000 0.500
0.500 0.000 0.000
0.000 0.500 0.000
0.000 0.000 0.000
```

Output
Space group: No. 221
Formation enthalpy at 0 K (meV/atom): 789
D(E_F) (states/eV/atom): 0.902

---

[8]
DFT (PBE-GGA) results for crystalline YVPRu2 at its relaxed geometry.

The structure in POSCAR format:
```
YVPRu2
1.0
4.789 0.000 0.000
0.000 5.039 0.000
0.000 0.000 4.789
Ru V P Y
2 1 1 1
Direct
0.500 0.000 0.000
0.000 0.000 0.500
0.500 0.500 0.500
0.000 0.500 0.000
0.000 0.000 0.000
```

Output
Space group: No. 123
Formation enthalpy at 0 K (meV/atom): 1998
D(E_F) (states/eV/atom): 2.151

---

[9]
DFT (PBE-GGA) results for crystalline Zr2VPRu at its relaxed geometry.

The structure in POSCAR format:
```
Zr2VPRu
1.0
4.864 0.000 0.000
0.000 4.249 0.000
0.000 0.000 4.864
V P Ru Zr
1 1 1 2
Direct
0.500 0.500 0.500
0.000 0.000 0.000
0.000 0.500 0.000
0.000 0.000 0.500
0.500 0.000 0.000
```

Output
Space group: No. 123
Formation enthalpy at 0 K (meV/atom): 176
D(E_F) (states/eV/atom): 1.428

---

[10]
DFT (PBE-GGA) results for crystalline PRuW4 at its relaxed geometry.

The structure in POSCAR format:
```
PRuW4
1.0
-4.161 -2.893 -1.257
-4.486 2.318 -1.328
-1.663 -0.170 -4.947
P W Ru
1 4 1
Direct
0.250 0.250 0.250
0.127 0.624 0.624
0.624 0.127 0.624
0.624 0.624 0.127
0.624 0.624 0.624
0.000 0.000 0.000
```

Output
Space group: No. 216
Formation enthalpy at 0 K (meV/atom): 886
D(E_F) (states/eV/atom): 1.176

---

[11]
DFT (PBE-GGA) results for crystalline P3RuW at its relaxed geometry.

The structure in POSCAR format:
```
P3RuW
1.0
4.489 0.000 0.000
0.000 4.489 0.000
0.000 0.000 4.489
W P Ru
1 3 1
Direct
0.500 0.500 0.500
0.000 0.000 0.500
0.000 0.500 0.000
0.500 0.000 0.000
0.000 0.000 0.000
```

Output
Space group: No. 221
Formation enthalpy at 0 K (meV/atom): 1343
D(E_F) (states/eV/atom): 1.776

---

[12]
DFT (PBE-GGA) results for crystalline PRu4W at its relaxed geometry.

The structure in POSCAR format:
```
PRu4W
1.0
0.000 3.575 3.575
3.575 0.000 3.575
3.575 3.575 0.000
W Ru P
1 4 1
Direct
0.750 0.750 0.750
0.375 0.375 0.375
0.375 0.375 0.875
0.875 0.375 0.375
0.375 0.875 0.375
0.000 0.000 0.000
```

Output
Space group: No. 216
Formation enthalpy at 0 K (meV/atom): 718
D(E_F) (states/eV/atom): 1.314

---

[13]
DFT (PBE-GGA) results for crystalline P3RuW at its relaxed geometry.

The structure in POSCAR format:
```
P3RuW
1.0
4.643 0.000 0.000
0.000 4.643 0.000
0.000 0.000 4.643
W P Ru
1 3 1
Direct
0.000 0.000 0.000
0.000 0.000 0.500
0.500 0.000 0.000
0.000 0.500 0.000
0.500 0.500 0.500
```

Output
Space group: No. 221
Formation enthalpy at 0 K (meV/atom): 1094
D(E_F) (states/eV/atom): 1.072

---

[14]
DFT (PBE-GGA) results for crystalline YP2Ru2 at its relaxed geometry.

The structure in POSCAR format:
```
YP2Ru2
1.0
-0.057 -3.907 1.090
4.056 -0.064 -0.017
2.040 -0.696 5.158
P Ru Y
2 2 1
Direct
0.375 0.375 0.250
0.625 0.625 0.750
0.750 0.250 0.500
0.250 0.750 0.500
0.000 0.000 0.000
```

Output
Space group: No. 139
Formation enthalpy at 0 K (meV/atom): -1035
D(E_F) (states/eV/atom): 0.434

---

[15]
DFT (PBE-GGA) results for crystalline YPRu2 at its relaxed geometry.

The structure in POSCAR format:
```
YPRu2
1.0
1.382 -0.094 -4.944
3.954 -0.489 -3.239
0.393 -4.673 -1.674
Y Ru P
1 2 1
Direct
0.498 0.498 0.483
0.991 0.991 0.976
0.727 0.727 0.876
0.283 0.283 0.166
```

Output
Space group: No. 8
Formation enthalpy at 0 K (meV/atom): -346
D(E_F) (states/eV/atom): 0.388

---

[16]
DFT (PBE-GGA) results for crystalline YP2Ru at its relaxed geometry.

The structure in POSCAR format:
```
YP2Ru
1.0
-3.881 2.188 -1.301
-4.291 0.607 1.663
0.297 4.348 2.360
Ru P Y
1 2 1
Direct
0.478 0.478 0.626
0.013 0.013 0.930
0.755 0.755 0.725
0.253 0.253 0.219
```

Output
Space group: No. 8
Formation enthalpy at 0 K (meV/atom): -580
D(E_F) (states/eV/atom): 0.769

---

[17]
DFT (PBE-GGA) results for crystalline YP2Ru at its relaxed geometry.

The structure in POSCAR format:
```
YP2Ru
1.0
-0.282 -4.256 0.099
3.053 -0.250 -2.061
4.414 -0.216 3.261
P Y Ru
2 1 1
Direct
0.500 0.359 0.406
0.000 0.062 0.001
0.500 0.649 0.827
0.000 0.430 0.265
```

Output
Space group: No. 38
Formation enthalpy at 0 K (meV/atom): -750
D(E_F) (states/eV/atom): 0.514

---

[18]
DFT (PBE-GGA) results for crystalline YPRu3 at its relaxed geometry.

The structure in POSCAR format:
```
YPRu3
1.0
-0.257 3.060 -3.801
-3.842 -2.473 -1.731
-3.008 2.898 2.536
Y Ru P
1 3 1
Direct
0.000 0.000 0.000
0.000 0.500 0.000
0.000 0.000 0.500
0.500 0.000 0.000
0.500 0.500 0.500
```

Output
Space group: No. 221
Formation enthalpy at 0 K (meV/atom): 2272
D(E_F) (states/eV/atom): 1.130

---

[19]
DFT (PBE-GGA) results for crystalline YPRu3 at its relaxed geometry.

The structure in POSCAR format:
```
YPRu3
1.0
-3.643 1.413 2.063
-2.441 -2.799 -2.393
0.542 -3.113 3.089
P Ru Y
1 3 1
Direct
0.000 0.000 0.000
0.000 0.500 0.000
0.000 0.000 0.500
0.500 0.000 0.000
0.500 0.500 0.500
```

Output
Space group: No. 221
Formation enthalpy at 0 K (meV/atom): -341
D(E_F) (states/eV/atom): 0.585

---

[20]
DFT (PBE-GGA) results for crystalline YP2Ru at its relaxed geometry.

The structure in POSCAR format:
```
YP2Ru
1.0
3.571 -2.802 0.043
-0.627 -4.469 0.486
0.738 -2.790 -3.504
Ru Y P
1 1 2
Direct
0.500 0.500 0.500
0.000 0.000 0.000
0.750 0.750 0.750
0.250 0.250 0.250
```

Output
Space group: No. 225
Formation enthalpy at 0 K (meV/atom): -452
D(E_F) (states/eV/atom): 0.876

---

[21]
DFT (PBE-GGA) results for crystalline YP2Ru at its relaxed geometry.

The structure in POSCAR format:
```
YP2Ru
1.0
-2.591 2.635 -1.374
-1.377 -0.316 -3.681
-5.159 -2.127 0.004
Ru P Y
1 2 1
Direct
0.750 0.750 0.750
0.026 0.026 0.923
0.474 0.474 0.577
0.250 0.250 0.250
```

Output
Space group: No. 166
Formation enthalpy at 0 K (meV/atom): -909
D(E_F) (states/eV/atom): 0.781

---

[22]
DFT (PBE-GGA) results for crystalline YPRu2 at its relaxed geometry.

The structure in POSCAR format:
```
YPRu2
1.0
7.154 0.000 0.000
0.000 7.154 0.000
3.577 3.577 2.842
P Y Ru
2 2 4
Direct
0.250 0.750 0.500
0.500 0.500 0.000
0.000 0.000 0.000
0.750 0.250 0.500
0.875 0.781 0.750
0.531 0.125 0.250
0.219 0.625 0.250
0.375 0.469 0.750
```

Output
Space group: No. 122
Formation enthalpy at 0 K (meV/atom): -401
D(E_F) (states/eV/atom): 0.310

---

[23]
DFT (PBE-GGA) results for crystalline YP2Ru at its relaxed geometry.

The structure in POSCAR format:
```
YP2Ru
1.0
-5.317 -0.415 0.720
-2.466 -4.708 -0.845
4.293 1.888 2.639
Y P Ru
1 2 1
Direct
0.750 0.250 0.500
0.250 0.750 0.500
0.000 0.000 0.000
0.500 0.500 0.000
```

Output
Space group: No. 119
Formation enthalpy at 0 K (meV/atom): -287
D(E_F) (states/eV/atom): 0.635

---

[24]
DFT (PBE-GGA) results for crystalline YPRu2 at its relaxed geometry.

The structure in POSCAR format:
```
YPRu2
1.0
3.042 0.000 0.000
0.000 3.042 0.000
0.000 0.000 7.113
Ru P Y
2 1 1
Direct
0.500 0.500 0.221
0.000 0.000 0.968
0.500 0.500 0.808
0.000 0.000 0.504
```

Output
Space group: No. 99
Formation enthalpy at 0 K (meV/atom): -227
D(E_F) (states/eV/atom): 0.970

---

[25]
DFT (PBE-GGA) results for crystalline Y2PRu at its relaxed geometry.

The structure in POSCAR format:
```
Y2PRu
1.0
-0.172 2.941 2.695
1.173 -2.541 2.848
5.477 1.313 -1.083
Ru Y P
1 2 1
Direct
0.500 0.500 0.851
0.500 0.500 0.338
0.000 0.000 0.909
0.000 0.000 0.403
```

Output
Space group: No. 99
Formation enthalpy at 0 K (meV/atom): -496
D(E_F) (states/eV/atom): 1.282

---

[26]
DFT (PBE-GGA) results for crystalline YP2Ru at its relaxed geometry.

The structure in POSCAR format:
```
YP2Ru
1.0
3.090 0.000 0.000
0.000 3.090 0.000
0.000 0.000 6.725
P Y Ru
2 1 1
Direct
0.000 0.000 0.457
0.000 0.000 0.043
0.500 0.500 0.750
0.500 0.500 0.250
```

Output
Space group: No. 123
Formation enthalpy at 0 K (meV/atom): -435
D(E_F) (states/eV/atom): 0.664

---

[27]
DFT (PBE-GGA) results for crystalline Y2PRu at its relaxed geometry.

The structure in POSCAR format:
```
Y2PRu
1.0
0.000 3.441 3.441
3.441 0.000 3.441
3.441 3.441 0.000
P Y Ru
1 2 1
Direct
0.000 0.000 0.000
0.250 0.250 0.250
0.750 0.750 0.750
0.500 0.500 0.500
```

Output
Space group: No. 225
Formation enthalpy at 0 K (meV/atom): -555
D(E_F) (states/eV/atom): 0.534

---

[28]
DFT (PBE-GGA) results for crystalline Y2PRu at its relaxed geometry.

The structure in POSCAR format:
```
Y2PRu
1.0
-4.341 -1.880 5.645
4.886 -5.115 2.053
1.800 -1.269 5.766
Y Ru P
4 2 2
Direct
0.875 0.880 0.750
0.375 0.370 0.750
0.630 0.125 0.250
0.120 0.625 0.250
0.000 0.000 0.000
0.750 0.250 0.500
0.250 0.750 0.500
0.500 0.500 0.000
```

Output
Space group: No. 122
Formation enthalpy at 0 K (meV/atom): -276
D(E_F) (states/eV/atom): 0.706